Entry 1:
La2ReRu (GGA-PBE, optimized geometry); energy of formation from the pure elements = 0.453 eV/atom; E above lowest polymorph = 438 meV/atom; total DFT energy (no corrections) = -29.765 eV/cell; space group = No. 65
1.0
1.8081 -2.6655 0.0000
1.8081 2.6655 0.0000
0.0000 0.0000 8.9729
La Re Ru
2 1 1
Cartesian
0.0000 0.0000 2.1704
0.0000 0.0000 6.8025
1.8081 0.0000 4.4865
1.8081 0.0000 0.0000

Entry 2:
Na2GeO2F2 (GGA-PBE, optimized geometry); total DFT energy (no corrections) = -35.998 eV/cell; space group = No. 12; formation energy from raw total energies = -2.15 eV per atom
1.0
5.7939 -1.4149 0.0000
5.7939 1.4149 0.0000
-2.3943 0.0000 4.9512
Na Ge O F
2 1 2 2
Cartesian
1.3932 0.0000 0.6489
7.8004 0.0000 4.3024
-1.1971 0.0000 2.4756
3.9138 0.0000 3.5528
5.2797 0.0000 1.3985
0.4363 0.0000 3.5548
8.7573 0.0000 1.3965

Entry 3:
CaTcNi (GGA-PBE, optimized geometry); energy of formation from the pure elements = 0.759 eV/atom; E above lowest polymorph = 457 meV/atom; total DFT energy (no corrections) = -15.871 eV/cell; space group = No. 216
1.0
0.0000 3.1115 3.1115
3.1115 0.0000 3.1115
3.1115 3.1115 0.0000
Ca Tc Ni
1 1 1
Cartesian
0.0000 0.0000 0.0000
3.1115 3.1115 3.1115
1.5557 1.5557 1.5557

Q: Which formula does entry 2 have?
A: Na2GeO2F2